(1)
# Zr3HgC | OQMD via LeMat-Bulk | PBE | optimized geometry
# Crystal system   cubic
# Polymorph energy (0 for the lowest one)   0.17 eV per formula unit
data_Zr3HgC
_chemical_formula_sum 'Zr3 Hg1 C1'
_symmetry_space_group_name_H-M 'P m -3 m'
_symmetry_Int_Tables_number 221
_symmetry_space_group_name_Hall '-P 4 2 3'
_cell_length_a 4.567
_cell_length_b 4.567
_cell_length_c 4.567
_cell_angle_alpha 90.00
_cell_angle_beta 90.00
_cell_angle_gamma 90.00
loop_
_atom_site_label
_atom_site_type_symbol
_atom_site_fract_x
_atom_site_fract_y
_atom_site_fract_z
Zr1 Zr 0.000 0.000 0.500
Hg1 Hg 0.500 0.500 0.500
C1 C 0.000 0.000 0.000

(2)
# LiNd2OsO6 | OQMD via LeMat-Bulk | PBE | optimized geometry
# Crystal system   monoclinic
data_LiNd2OsO6
_chemical_formula_sum 'Li2 Nd4 Os2 O12'
_symmetry_space_group_name_H-M 'P 1 21/c 1'
_symmetry_Int_Tables_number 14
_cell_length_a 5.418
_cell_length_b 5.754
_cell_length_c 9.393
_cell_angle_alpha 90.00
_cell_angle_beta 124.69
_cell_angle_gamma 90.00
loop_
_symmetry_equiv_pos_as_xyz
'x,y,z'
'-x,-y,-z'
'-x,y+1/2,-z+1/2'
'x,-y+1/2,z+1/2'
loop_
_atom_site_label
_atom_site_type_symbol
_atom_site_fract_x
_atom_site_fract_y
_atom_site_fract_z
Li1 Li 0.000 0.000 0.000
Nd1 Nd 0.232 0.069 0.749
Os1 Os 0.500 0.000 0.500
O1 O 0.156 0.190 0.453
O2 O 0.264 0.710 0.449
O3 O 0.350 0.029 0.254

(3)
# ZnH20S2N2O14 | OQMD via LeMat-Bulk | PBE | optimized geometry
# Crystal system   monoclinic
# Polymorph energy (0 for the lowest one)   7.26 eV per formula unit
data_ZnH20S2N2O14
_chemical_formula_sum 'Zn2 H40 S4 N4 O28'
_symmetry_space_group_name_H-M 'P 1 21/c 1'
_symmetry_Int_Tables_number 14
_cell_length_a 5.945
_cell_length_b 12.487
_cell_length_c 8.921
_cell_angle_alpha 90.00
_cell_angle_beta 107.23
_cell_angle_gamma 90.00
loop_
_symmetry_equiv_pos_as_xyz
'x,y,z'
'-x,-y,-z'
'-x,y+1/2,-z+1/2'
'x,-y+1/2,z+1/2'
loop_
_atom_site_label
_atom_site_type_symbol
_atom_site_fract_x
_atom_site_fract_y
_atom_site_fract_z
Zn1 Zn 0.000 0.000 0.000
H1 H 0.018 0.095 0.273
H2 H 0.037 0.683 0.362
H3 H 0.113 0.633 0.752
H4 H 0.227 0.681 0.060
H5 H 0.325 0.151 0.032
H6 H 0.340 0.063 0.910
H7 H 0.350 0.591 0.718
H8 H 0.354 0.573 0.185
H9 H 0.424 0.707 0.250
H10 H 0.440 0.008 0.474
S1 S 0.226 0.142 0.593
N1 N 0.332 0.654 0.166
O1 O 0.022 0.193 0.631
O2 O 0.074 0.607 0.341
O3 O 0.136 0.078 0.449
O4 O 0.182 0.609 0.669
O5 O 0.315 0.072 0.014
O6 O 0.352 0.070 0.725
O7 O 0.392 0.225 0.573

(4)
# AlZn2Os | OQMD via LeMat-Bulk | PBE | optimized geometry
# Crystal system   cubic
data_AlZn2Os
_chemical_formula_sum 'Al4 Zn8 Os4'
_symmetry_space_group_name_H-M 'F -4 3 m'
_symmetry_Int_Tables_number 216
_symmetry_space_group_name_Hall 'F -4 2 3'
_cell_length_a 6.091
_cell_length_b 6.091
_cell_length_c 6.091
_cell_angle_alpha 90.00
_cell_angle_beta 90.00
_cell_angle_gamma 90.00
loop_
_atom_site_label
_atom_site_type_symbol
_atom_site_fract_x
_atom_site_fract_y
_atom_site_fract_z
Al1 Al 0.000 0.000 0.000
Zn1 Zn 0.000 0.000 0.500
Zn2 Zn 0.250 0.250 0.750
Os1 Os 0.250 0.250 0.250

(5)
# CoH | OQMD via LeMat-Bulk | PBE | optimized geometry
# Crystal system   cubic
data_CoH
_chemical_formula_sum 'Co1 H1'
_symmetry_space_group_name_H-M 'P m -3 m'
_symmetry_Int_Tables_number 221
_symmetry_space_group_name_Hall '-P 4 2 3'
_cell_length_a 2.383
_cell_length_b 2.383
_cell_length_c 2.383
_cell_angle_alpha 90.00
_cell_angle_beta 90.00
_cell_angle_gamma 90.00
loop_
_atom_site_label
_atom_site_type_symbol
_atom_site_fract_x
_atom_site_fract_y
_atom_site_fract_z
Co1 Co 0.000 0.000 0.000
H1 H 0.500 0.500 0.500

(6)
# TcSnIr | OQMD via LeMat-Bulk | PBE | optimized geometry
# Crystal system   orthorhombic
# Polymorph energy (0 for the lowest one)   0.12 eV per formula unit
data_TcSnIr
_chemical_formula_sum 'Tc4 Sn4 Ir4'
_symmetry_space_group_name_H-M 'C m c 21'
_symmetry_Int_Tables_number 36
_cell_length_a 4.572
_cell_length_b 8.847
_cell_length_c 5.061
_cell_angle_alpha 90.00
_cell_angle_beta 90.00
_cell_angle_gamma 90.00
loop_
_symmetry_equiv_pos_as_xyz
'x,y,z'
'-x,-y,z+1/2'
'-x,y,z'
'x,-y,z+1/2'
'x+1/2,y+1/2,z'
'-x+1/2,-y+1/2,z+1/2'
'-x+1/2,y+1/2,z'
'x+1/2,-y+1/2,z+1/2'
loop_
_atom_site_label
_atom_site_type_symbol
_atom_site_fract_x
_atom_site_fract_y
_atom_site_fract_z
Tc1 Tc 0.000 0.055 0.000
Sn1 Sn 0.000 0.274 0.628
Ir1 Ir 0.000 0.414 0.156

(7)
# TbCo2GeB | OQMD via LeMat-Bulk | PBE | optimized geometry
# Crystal system   tetragonal
data_TbCo2GeB
_chemical_formula_sum 'Tb2 Co4 Ge2 B2'
_symmetry_space_group_name_H-M 'I 4 m m'
_symmetry_Int_Tables_number 107
_symmetry_space_group_name_Hall 'I 4 -2'
_cell_length_a 3.743
_cell_length_b 3.743
_cell_length_c 9.822
_cell_angle_alpha 90.00
_cell_angle_beta 90.00
_cell_angle_gamma 90.00
loop_
_atom_site_label
_atom_site_type_symbol
_atom_site_fract_x
_atom_site_fract_y
_atom_site_fract_z
Tb1 Tb 0.000 0.000 0.000
Co1 Co 0.000 0.500 0.222
Ge1 Ge 0.000 0.000 0.365
B1 B 0.000 0.000 0.635

(8)
# PmAg | OQMD via LeMat-Bulk | PBE | optimized geometry
# Formation enthalpy at 0 K   -0.055 eV per formula unit
# Crystal system   hexagonal
data_PmAg
_chemical_formula_sum 'Pm1 Ag1'
_symmetry_space_group_name_H-M 'P -6 m 2'
_symmetry_Int_Tables_number 187
_symmetry_space_group_name_Hall 'P -6 2'
_cell_length_a 3.4406
_cell_length_b 3.4406
_cell_length_c 4.9845
_cell_angle_alpha 90.00
_cell_angle_beta 90.00
_cell_angle_gamma 120.00
loop_
_atom_site_label
_atom_site_type_symbol
_atom_site_fract_x
_atom_site_fract_y
_atom_site_fract_z
Pm1 Pm 0.0000 0.0000 0.0000
Ag1 Ag 0.3333 0.6667 0.5000

(9)
# ErCoSi2Ag | OQMD via LeMat-Bulk | PBE | optimized geometry
# Crystal system   tetragonal
data_ErCoSi2Ag
_chemical_formula_sum 'Er2 Co2 Si4 Ag2'
_symmetry_space_group_name_H-M 'I -4 m 2'
_symmetry_Int_Tables_number 119
_symmetry_space_group_name_Hall 'I -4 -2'
_cell_length_a 4.026
_cell_length_b 4.026
_cell_length_c 10.086
_cell_angle_alpha 90.00
_cell_angle_beta 90.00
_cell_angle_gamma 90.00
loop_
_atom_site_label
_atom_site_type_symbol
_atom_site_fract_x
_atom_site_fract_y
_atom_site_fract_z
Er1 Er 0.000 0.000 0.000
Co1 Co 0.000 0.500 0.750
Si1 Si 0.000 0.000 0.385
Ag1 Ag 0.000 0.500 0.250

(10)
# SrHfPd | OQMD via LeMat-Bulk | PBE | optimized geometry
# Crystal system   cubic
# Polymorph energy (0 for the lowest one)   2.78 eV per formula unit
data_SrHfPd
_chemical_formula_sum 'Sr4 Hf4 Pd4'
_symmetry_space_group_name_H-M 'F -4 3 m'
_symmetry_Int_Tables_number 216
_symmetry_space_group_name_Hall 'F -4 2 3'
_cell_length_a 6.795
_cell_length_b 6.795
_cell_length_c 6.795
_cell_angle_alpha 90.00
_cell_angle_beta 90.00
_cell_angle_gamma 90.00
loop_
_atom_site_label
_atom_site_type_symbol
_atom_site_fract_x
_atom_site_fract_y
_atom_site_fract_z
Sr1 Sr 0.000 0.000 0.000
Hf1 Hf 0.250 0.250 0.750
Pd1 Pd 0.250 0.250 0.250

| no. | density (g/cm³) | final energy (eV per atom) |
| --- | --- | --- |
| 1 | 8.5 | -7.504 |
| 2 | 8.0 | -7.635 |
| 3 | 2.1 | -5.022 |
| 4 | 10.2 | -4.352 |
| 5 | 7.4 | -4.659 |
| 6 | 13.3 | -7.557 |
| 7 | 8.7 | -6.561 |
| 8 | 8.2 | -3.812 |
| 9 | 7.9 | -5.516 |
| 10 | 7.9 | -4.484 |